Record 1
! CsTcSn | the Open Quantum Materials Database | PBE | optimized geometry; values from VASP
! Total moment = 0.01 Bohr magnetons per cell
! Final energy = -3.89 eV per atom
&SYSTEM
  ibrav = 0, nat = 3, ntyp = 3
/
ATOMIC_SPECIES
Cs 132.91 Cs.upf
Sn 118.71 Sn.upf
Tc 98.00 Tc.upf
CELL_PARAMETERS angstrom
0.000 3.461 3.461
3.461 0.000 3.461
3.461 3.461 0.000
ATOMIC_POSITIONS crystal
Cs 0.250 0.250 0.250
Sn 0.750 0.750 0.750
Tc 0.000 0.000 0.000

=====

Record 2
! Au2Br | the Open Quantum Materials Database | PBE | optimized geometry; values from VASP
! Final energy = -2.01 eV per atom
&SYSTEM
  ibrav = 0, nat = 6, ntyp = 2
/
ATOMIC_SPECIES
Au 196.97 Au.upf
Br 79.90 Br.upf
CELL_PARAMETERS angstrom
-0.462 5.783 -2.523
-3.566 -2.327 -4.680
-3.356 0.697 2.211
ATOMIC_POSITIONS crystal
Au 0.291 0.291 0.000
Au 0.709 0.709 0.000
Au 0.791 0.209 0.500
Au 0.209 0.791 0.500
Br 0.000 0.000 0.000
Br 0.500 0.500 0.500

=====

Record 3
! HoHfZn2Pt4 | the Open Quantum Materials Database | PBE | optimized geometry; values from VASP
! Formation energy = -0.883 eV per atom
! Total moment = 0.00 Bohr magnetons per cell
&SYSTEM
  ibrav = 0, nat = 8, ntyp = 4
/
ATOMIC_SPECIES
Hf 178.49 Hf.upf
Ho 164.93 Ho.upf
Pt 195.08 Pt.upf
Zn 65.41 Zn.upf
CELL_PARAMETERS angstrom
4.604 0.000 0.000
0.000 4.604 0.000
0.000 0.000 6.539
ATOMIC_POSITIONS crystal
Hf 0.000 0.000 0.500
Ho 0.500 0.500 0.000
Pt 0.500 0.000 0.266
Pt 0.000 0.500 0.266
Pt 0.500 0.000 0.734
Pt 0.000 0.500 0.734
Zn 0.000 0.000 0.000
Zn 0.500 0.500 0.500